Entry 1:
# TlCuTcCl6 (GGA-PBE, optimized geometry)
data_TlCuTcCl6
_chemical_formula_sum 'Tl1 Cu1 Tc1 Cl6'
_cell_length_a 6.4429
_cell_length_b 6.4429
_cell_length_c 7.0899
_cell_angle_alpha 90.00
_cell_angle_beta 90.00
_cell_angle_gamma 120.00
_space_group_name_H-M_alt 'P 3 1 2'
_space_group_IT_number 149
loop_
_space_group_symop_operation_xyz
'x,y,z'
'-y,x-y,z'
'-x+y,-x,z'
'-y,-x,-z'
'-x+y,y,-z'
'x,x-y,-z'
loop_
_atom_site_label
_atom_site_type_symbol
_atom_site_fract_x
_atom_site_fract_y
_atom_site_fract_z
Tl1 Tl 0.0000 0.0000 0.0000
Cu1 Cu 0.6667 0.3333 0.5000
Tc1 Tc 0.3333 0.6667 0.5000
Cl1 Cl 0.0158 0.3774 0.3085
# Volume   254.9 Å³/f.u.
# Formation energy from raw total energies   -6.39 eV per formula unit

***

Entry 2:
# ZnCu2TcCl (GGA-PBE, optimized geometry)
data_ZnCu2TcCl
_chemical_formula_sum 'Zn1 Cu2 Tc1 Cl1'
_cell_length_a 4.790
_cell_length_b 4.790
_cell_length_c 5.032
_cell_angle_alpha 90.00
_cell_angle_beta 90.00
_cell_angle_gamma 90.00
_space_group_name_H-M_alt 'P 4/m m m'
_space_group_IT_number 123
_space_group_name_Hall '-P 4 2'
loop_
_atom_site_label
_atom_site_type_symbol
_atom_site_fract_x
_atom_site_fract_y
_atom_site_fract_z
Zn1 Zn 0.000 0.000 0.000
Cu1 Cu 0.000 0.500 0.500
Tc1 Tc 0.000 0.000 0.500
Cl1 Cl 0.500 0.500 0.000
# Volume   115.5 Å³/f.u.
# Formation energy from raw total energies   5.78 eV per formula unit

***

Entry 3:
# CuTeCl2 (GGA-PBE, optimized geometry)
data_CuTeCl2
_chemical_formula_sum 'Cu2 Te2 Cl4'
_cell_length_a 3.446
_cell_length_b 5.363
_cell_length_c 13.719
_cell_angle_alpha 90.00
_cell_angle_beta 90.00
_cell_angle_gamma 90.00
_space_group_name_H-M_alt 'I m m 2'
_space_group_IT_number 44
loop_
_space_group_symop_operation_xyz
'x,y,z'
'-x,-y,z'
'-x,y,z'
'x,-y,z'
'x+1/2,y+1/2,z+1/2'
'-x+1/2,-y+1/2,z+1/2'
'-x+1/2,y+1/2,z+1/2'
'x+1/2,-y+1/2,z+1/2'
loop_
_atom_site_label
_atom_site_type_symbol
_atom_site_fract_x
_atom_site_fract_y
_atom_site_fract_z
Cu1 Cu 0.000 0.000 0.000
Te1 Te 0.000 0.500 0.640
Cl1 Cl 0.000 0.000 0.626
Cl2 Cl 0.000 0.500 0.392
# Volume   126.8 Å³/f.u.
# Formation energy from raw total energies   -1.27 eV per formula unit

***

Entry 4:
# CuTe2Cl (GGA-PBE, optimized geometry)
data_CuTe2Cl
_chemical_formula_sum 'Cu1 Te2 Cl1'
_cell_length_a 3.593
_cell_length_b 3.593
_cell_length_c 9.068
_cell_angle_alpha 90.00
_cell_angle_beta 90.00
_cell_angle_gamma 90.00
_space_group_name_H-M_alt 'P 4 m m'
_space_group_IT_number 99
loop_
_space_group_symop_operation_xyz
'x,y,z'
'-y,x,z'
'-x,-y,z'
'y,-x,z'
'-x,y,z'
'y,x,z'
'x,-y,z'
'-y,-x,z'
loop_
_atom_site_label
_atom_site_type_symbol
_atom_site_fract_x
_atom_site_fract_y
_atom_site_fract_z
Cu1 Cu 0.000 0.000 0.000
Te1 Te 0.000 0.000 0.277
Te2 Te 0.500 0.500 0.916
Cl1 Cl 0.500 0.500 0.652
# Volume   117.1 Å³/f.u.
# Formation energy from raw total energies   -0.04 eV per formula unit

***

Entry 5:
# CuTeCl2 (GGA-PBE, optimized geometry)
data_CuTeCl2
_chemical_formula_sum 'Cu3 Te3 Cl6'
_cell_length_a 3.6441
_cell_length_b 3.6441
_cell_length_c 25.2087
_cell_angle_alpha 90.00
_cell_angle_beta 90.00
_cell_angle_gamma 120.00
_space_group_name_H-M_alt 'R 3 m'
_space_group_IT_number 160
_space_group_name_Hall 'R 3 -2"'
loop_
_atom_site_label
_atom_site_type_symbol
_atom_site_fract_x
_atom_site_fract_y
_atom_site_fract_z
Cu1 Cu 0.0000 0.0000 0.0000
Te1 Te 0.0000 0.0000 0.2648
Cl1 Cl 0.0000 0.0000 0.5166
Cl2 Cl 0.0000 0.0000 0.7152
# Volume   96.6 Å³/f.u.
# Formation energy from raw total energies   -0.71 eV per formula unit

***

Entry 6:
# Cu2TeCl6 (GGA-PBE, optimized geometry)
data_Cu2TeCl6
_chemical_formula_sum 'Cu8 Te4 Cl24'
_cell_length_a 13.678
_cell_length_b 14.108
_cell_length_c 6.535
_cell_angle_alpha 90.00
_cell_angle_beta 105.67
_cell_angle_gamma 90.00
_space_group_name_H-M_alt 'C 1 2/c 1'
_space_group_IT_number 15
loop_
_space_group_symop_operation_xyz
'x,y,z'
'-x,-y,-z'
'-x,y,-z+1/2'
'x,-y,z+1/2'
'x+1/2,y+1/2,z'
'-x+1/2,-y+1/2,-z'
'-x+1/2,y+1/2,-z+1/2'
'x+1/2,-y+1/2,z+1/2'
loop_
_atom_site_label
_atom_site_type_symbol
_atom_site_fract_x
_atom_site_fract_y
_atom_site_fract_z
Cu1 Cu 0.101 0.000 0.315
Te1 Te 0.000 0.415 0.250
Cl1 Cl 0.107 0.302 0.154
Cl2 Cl 0.113 0.098 0.573
Cl3 Cl 0.118 0.430 0.629
# Volume   303.5 Å³/f.u.
# Formation energy from raw total energies   -4.56 eV per formula unit

***

Entry 7:
# CuTe2Cl (GGA-PBE, optimized geometry)
data_CuTe2Cl
_chemical_formula_sum 'Cu2 Te4 Cl2'
_cell_length_a 9.336
_cell_length_b 3.446
_cell_length_c 7.779
_cell_angle_alpha 90.00
_cell_angle_beta 98.47
_cell_angle_gamma 90.00
_space_group_name_H-M_alt 'C 1 m 1'
_space_group_IT_number 8
loop_
_space_group_symop_operation_xyz
'x,y,z'
'x,-y,z'
'x+1/2,y+1/2,z'
'x+1/2,-y+1/2,z'
loop_
_atom_site_label
_atom_site_type_symbol
_atom_site_fract_x
_atom_site_fract_y
_atom_site_fract_z
Cu1 Cu 0.000 0.000 0.000
Te1 Te 0.334 0.000 0.812
Te2 Te 0.476 0.000 0.534
Cl1 Cl 0.125 0.500 0.152
# Volume   123.8 Å³/f.u.
# Formation energy from raw total energies   -0.56 eV per formula unit

***

Entry 8:
# Cu2Te4Cl (GGA-PBE, optimized geometry)
data_Cu2Te4Cl
_chemical_formula_sum 'Cu4 Te8 Cl2'
_cell_length_a 8.084
_cell_length_b 8.088
_cell_length_c 8.366
_cell_angle_alpha 114.10
_cell_angle_beta 114.02
_cell_angle_gamma 98.12
_space_group_name_H-M_alt 'P 1'
_space_group_IT_number 1
loop_
_space_group_symop_operation_xyz
'x,y,z'
loop_
_atom_site_label
_atom_site_type_symbol
_atom_site_fract_x
_atom_site_fract_y
_atom_site_fract_z
Cu1 Cu 0.000 0.000 0.000
Cu2 Cu 0.044 0.955 0.499
Cu3 Cu 0.137 0.635 0.272
Cu4 Cu 0.679 0.093 0.772
Te1 Te 0.222 0.341 0.083
Te2 Te 0.273 0.891 0.179
Te3 Te 0.341 0.864 0.676
Te4 Te 0.386 0.178 0.584
Te5 Te 0.802 0.827 0.597
Te6 Te 0.871 0.758 0.096
Te7 Te 0.908 0.297 0.177
Te8 Te 0.935 0.229 0.679
Cl1 Cl 0.230 0.590 0.791
Cl2 Cl 0.635 0.189 0.292
# Volume   212.0 Å³/f.u.
# Formation energy from raw total energies   -0.44 eV per formula unit